First-principles (GGA-PBE) data for a relaxed LaSb2W crystal, as listed in Alexandria via LeMat-Bulk.

- Polymorph energy (0 for the lowest one): 3.652 kcal/mol of atoms
- M_tot: 0.0 μB per cell
- Formation energy (no corrections): 0.00 eV/f.u.
- N(E_F): 3.26 states/eV/f.u.

a = 5.073 Å, b = 5.073 Å, c = 6.784 Å
α = 69.03°, β = 69.03°, γ = 42.87°
Positions (direct):
Sb 0.199 0.199 0.378
Sb 0.003 0.003 0.036
W 0.497 0.497 0.344
La 0.801 0.801 0.742